(1)
Tm8Cd2Fe | PBE-GGA | relaxed

abc: 5.090 8.360 8.404
angles: 119.83 107.63 90.00
Positions (direct):
Cd1 0.202 0.702 0.404
Tm1 0.000 0.324 0.000
Tm2 0.126 0.126 0.252
Tm3 0.000 0.676 0.000
Tm4 0.354 0.128 0.708
Fe1 0.500 0.000 0.000
Tm5 0.646 0.872 0.292
Tm6 0.354 0.580 0.708
Cd2 0.798 0.298 0.596
Tm7 0.646 0.420 0.292
Tm8 0.874 0.874 0.748

- VASP energy (eV for the cell shown) = -45.7
- relative energy among the computed polymorphs (eV/atom) = 0.132
- total magnetic moment (μB/f.u.) = 0.956


(2)
Tm8Cd2Fe | PBE-GGA | relaxed

abc: 5.324 6.800 8.926
angles: 110.18 107.35 90.00
Positions (direct):
Tm1 0.018 0.786 0.036
Cd1 0.818 0.300 0.636
Tm2 0.594 0.405 0.188
Fe1 0.500 0.000 0.000
Tm3 0.406 0.595 0.812
Cd2 0.182 0.700 0.364
Tm4 0.646 0.938 0.292
Tm5 0.196 0.273 0.392
Tm6 0.804 0.727 0.608
Tm7 0.354 0.062 0.708
Tm8 0.982 0.214 0.964

- VASP energy (eV for the cell shown) = -47.1
- relative energy among the computed polymorphs (eV/atom) = 0.000
- total magnetic moment (μB/f.u.) = 0.000


(3)
Tm8CdFe2 | PBE-GGA | relaxed

abc: 5.292 7.673 7.673
angles: 112.45 97.52 97.52
Positions (direct):
Tm1 0.799 0.618 0.618
Fe1 0.500 0.688 0.318
Tm2 0.000 0.252 0.753
Fe2 0.500 0.318 0.688
Tm3 0.201 0.388 0.388
Cd1 0.000 0.003 0.003
Tm4 0.000 0.753 0.252
Tm5 0.422 0.941 0.672
Tm6 0.578 0.065 0.334
Tm7 0.422 0.672 0.941
Tm8 0.578 0.334 0.065

- VASP energy (eV for the cell shown) = -53.9
- total magnetic moment (μB/f.u.) = 0.000


(4)
Tm2CdFe | PBE-GGA | relaxed

abc: 3.476 5.059 5.059
angles: 90.00 90.00 90.00
Positions (direct):
Cd1 0.500 0.000 0.000
Tm1 0.000 0.000 0.500
Fe1 0.500 0.500 0.500
Tm2 0.000 0.500 0.000

- VASP energy (eV for the cell shown) = -18.4
- relative energy among the computed polymorphs (eV/atom) = 0.139
- total magnetic moment (μB/f.u.) = 1.610


(5)
Tm6CdFe | PBE-GGA | relaxed

abc: 6.060 7.796 6.352
angles: 52.15 80.75 74.81
Positions (direct):
Cd1 0.000 0.000 0.000
Tm1 0.215 0.436 0.363
Tm2 0.215 0.799 0.637
Tm3 0.364 0.225 0.000
Fe1 0.500 0.500 0.000
Tm4 0.636 0.775 0.000
Tm5 0.785 0.201 0.363
Tm6 0.785 0.564 0.637

- VASP energy (eV for the cell shown) = -35.5
- total magnetic moment (μB/f.u.) = 0.010


(6)
Tm2CdFe | PBE-GGA | relaxed

abc: 3.333 3.333 7.705
angles: 90.00 90.00 90.00
Positions (direct):
Tm1 0.000 0.000 0.794
Tm2 0.000 0.000 0.206
Fe1 0.500 0.500 0.000
Cd1 0.500 0.500 0.500

- VASP energy (eV for the cell shown) = -18.9
- relative energy among the computed polymorphs (eV/atom) = 0.000
- total magnetic moment (μB/f.u.) = 0.000


Number 1: DOS(E_F) 10.74 states/eV/cell, ΔE_f 34 meV per atom. Number 2: DOS(E_F) 7.53 states/eV/cell, ΔE_f -98 meV per atom. Number 3: DOS(E_F) 9.87 states/eV/cell, ΔE_f -25 meV per atom. Number 4: DOS(E_F) 6.18 states/eV/cell, ΔE_f -12 meV per atom. Number 5: DOS(E_F) 11.30 states/eV/cell, ΔE_f 90 meV per atom. Number 6: DOS(E_F) 3.19 states/eV/cell, ΔE_f -151 meV per atom.